Record 1
## Na2LiPb6 (GGA-PBE)

Data for a geometry-optimized Na2LiPb6 structure.

The space group is C2/m (No. 12) and the conventional cell measures 16.868, 8.923 and 3.560 Å, with angles of 90.00, 90.08 and 90.00 degrees. The inequivalent atoms are Na at (0.187, 0.000, 0.499), Li at (0.000, 0.500, 0.000), Pb at (0.000, 0.186, 0.500) and Pb at (0.157, 0.322, 0.001).

The value obtained for the size of the total moment is 0.000 μB per cell. For the formation energy, the calculation gives -0.108 eV per atom. The value obtained for the total energy is -3.09 eV per atom. The value obtained for the density of states at the Fermi level is 3.67 states/eV/f.u.

---

Record 2
## CdSi2P (GGA-PBE)

Data for a geometry-optimized CdSi2P structure.

The space group is P4/mmm (No. 123) and the conventional cell measures 4.425, 4.425 and 3.595 Å, with angles of 90.00, 90.00 and 90.00 degrees. The inequivalent atoms are Cd at (0.000, 0.000, 0.000), Si at (0.000, 0.500, 0.500) and P at (0.500, 0.500, 0.000).

The value obtained for the size of the total moment is 0.000 μB per cell. The value obtained for the total energy is -3.66 eV per atom. The value obtained for the density of states at the Fermi level is 1.22 states/eV/f.u.

---

Record 3
## K2ErHfS4 (GGA-PBE)

Data for a geometry-optimized K2ErHfS4 structure.

The space group is P2/m (No. 10) and the conventional cell measures 6.721, 3.851 and 7.705 Å, with angles of 90.00, 106.65 and 90.00 degrees. The inequivalent atoms are K at (0.000, 0.000, 0.000), K at (0.500, 0.500, 0.000), Er at (0.000, 0.500, 0.500), Hf at (0.500, 0.000, 0.500), S at (0.247, 0.000, 0.701) and S at (0.280, 0.500, 0.303).

The value obtained for the size of the total moment is 0.000 μB per cell. The value obtained for the total energy is -5.81 eV per atom. The value obtained for the density of states at the Fermi level is 2.73 states/eV/f.u.

---

Record 4
## Mo2RuRh (GGA-PBE)

Data for a geometry-optimized Mo2RuRh structure.

The space group is Cm (No. 8) and the conventional cell measures 9.122, 2.786 and 4.786 Å, with angles of 90.00, 99.81 and 90.00 degrees. The inequivalent atoms are Mo at (0.000, 0.000, 0.000), Mo at (0.237, 0.000, 0.705), Ru at (0.246, 0.500, 0.210) and Rh at (0.490, 0.000, 0.492).

The value obtained for the size of the total moment is 0.000 μB per cell. For the formation energy, the calculation gives -0.005 eV per atom. The value obtained for the total energy is -9.58 eV per atom. The value obtained for the density of states at the Fermi level is 4.11 states/eV/f.u.